This record from the Alexandria database describes NaSm2MnO6 after structural relaxation. The functional is PBE with a Hubbard U.

Cell and atoms, written as CIF:
```
data_NaSm2MnO6
_cell_length_a 5.471
_cell_length_b 5.897
_cell_length_c 9.409
_cell_angle_alpha 90.00
_cell_angle_beta 124.06
_cell_angle_gamma 90.00
_space_group_name_H-M_alt 'P 1 21/c 1'
_space_group_IT_number 14
loop_
_space_group_symop_operation_xyz
'x,y,z'
'-x,-y,-z'
'-x,y+1/2,-z+1/2'
'x,-y+1/2,z+1/2'
loop_
_atom_site_label
_atom_site_type_symbol
_atom_site_fract_x
_atom_site_fract_y
_atom_site_fract_z
_atom_site_occupancy
Na1 Na 0.000 0.000 0.000 1
Sm1 Sm 0.221 0.075 0.744 1
Mn1 Mn 0.500 0.000 0.500 1
O1 O 0.160 0.171 0.448 1
O2 O 0.266 0.722 0.428 1
O3 O 0.396 0.053 0.272 1
```

Properties
- uncorrected energy (eV/atom) = -7.14
- total moment (μB/atom) = 0.19